Record 1
## DyTm2Pd3 (PBE-GGA)

Data for crystalline DyTm2Pd3 at its relaxed geometry.

Computed properties:
ΔH_f (0 K): -0.925 eV per atom
M_tot: 0.000 μB per atom
E: -69.341 eV per cell
Energy above the most stable polymorph in this dataset: 0.0 kJ/mol of atoms

```
DyTm2Pd3
1.0
-1.384 0.404 -3.092
2.342 -4.074 -1.582
-11.645 -8.300 4.129
Pd Tm Dy
6 4 2
Cartesian
0.478 -1.834 -2.338
-2.670 -1.206 -0.847
-3.366 -4.576 -0.971
-10.362 -6.688 1.881
-6.514 -3.948 0.520
-7.320 -7.394 0.431
-9.150 -5.130 -0.338
-8.532 -8.952 2.649
-0.772 -3.421 -0.102
-5.264 -2.361 -1.715
-0.001 0.000 -0.003
-6.035 -5.783 -1.815
```



Record 2
## Dy3TmPd (PBE-GGA)

Data for crystalline Dy3TmPd at its relaxed geometry.

Computed properties:
ΔH_f (0 K): -0.363 eV per atom
M_tot: 0.000 μB per atom
E: -50.575 eV per cell
Energy above the most stable polymorph in this dataset: 0.0 kJ/mol of atoms

```
Dy3TmPd
1.0
-1.979 -2.905 1.106
1.649 -1.166 6.027
-9.926 6.169 4.583
Dy Pd Tm
6 2 2
Cartesian
-7.783 1.601 8.698
-10.894 2.657 5.904
-5.341 0.075 2.919
-4.949 1.208 6.599
-6.137 3.359 3.983
-0.895 -1.462 6.838
-2.276 -1.819 3.430
-8.048 3.141 6.130
-2.171 0.830 4.436
-9.378 4.833 8.196
```



Record 3
## DyTm2Pd4 (PBE-GGA)

Data for crystalline DyTm2Pd4 at its relaxed geometry.

Computed properties:
ΔH_f (0 K): -0.628 eV per atom
M_tot: 0.000 μB per atom
E: -38.714 eV per cell

```
DyTm2Pd4
1.0
5.556 0.175 -1.849
-2.719 4.719 -2.158
0.101 -0.175 5.855
Tm Pd Dy
2 4 1
Cartesian
1.419 2.447 -2.003
2.828 0.000 2.003
0.050 -0.087 2.927
1.469 2.360 0.924
-1.359 2.360 -1.079
2.778 0.087 -0.924
0.000 0.000 0.000
```



Record 4
## Dy2TmPd8 (PBE-GGA)

Data for crystalline Dy2TmPd8 at its relaxed geometry.

Computed properties:
ΔH_f (0 K): -0.777 eV per atom
M_tot: 0.000 μB per atom
E: -63.769 eV per cell

```
Dy2TmPd8
1.0
-3.166 -1.110 -2.527
-2.592 -3.816 4.924
-1.252 7.357 1.829
Dy Pd Tm
2 8 1
Cartesian
-2.960 0.417 3.527
-4.050 2.015 0.700
-3.748 3.459 3.178
-2.073 -2.243 3.583
-3.263 -1.028 1.049
-5.753 1.199 3.192
-2.080 4.049 0.828
-1.257 1.233 1.034
-4.930 -1.618 3.398
-4.937 4.674 0.644
-1.583 -0.555 -1.263
```